No. 1
This record from the Open Quantum Materials Database describes CuB4Os after structural relaxation. The functional is PBE.

Computed properties:
E above lowest polymorph (meV per atom): 0
Total energy (eV per cell): -39.79
Space group: No. 71
Theoretical density (Mg/m³): 9.6

extended XYZ file:
```
6
Lattice="-1.479 2.629 3.289 1.479 -2.629 3.289 1.479 2.629 -3.289" Properties=species:S:1:pos:R:3 pbc="T T T"
Cu 0.000 0.000 0.000
B 1.479 -0.837 1.584
B 1.479 0.837 1.584
B 0.000 1.792 1.706
B 0.000 3.466 1.706
Os 0.000 0.000 3.289
```



No. 2
This record from the Open Quantum Materials Database describes DyZr after structural relaxation. The functional is PBE.

Computed properties:
Energy of formation from the pure elements (kJ per mole of atoms): 218.0
Total energy (eV per cell): -8.63
Space group: No. 216
Theoretical density (Mg/m³): 6.1

extended XYZ file:
```
2
Lattice="0.000 3.258 3.258 3.258 0.000 3.258 3.258 3.258 0.000" Properties=species:S:1:pos:R:3 pbc="T T T"
Dy 0.000 0.000 0.000
Zr 4.887 4.887 4.887
```